Density functional theory data (GGA-PBE) for a relaxed Y4SiS3 crystal.

Properties
Space-group type: No. 221
Total magnetization in μB/cell: 0.00
Formation energy from raw total energies in eV per atom: -1.7552
ρ in Mg/m³: 4.5
D(E_F) in states/eV/cell: 3.43

abc: 5.6215 5.6215 5.6215
angles: 90.00 90.00 90.00
Fractional coordinates of all 8 atoms:
Y 0.5000 0.0000 0.0000
Y 0.0000 0.5000 0.0000
Y 0.0000 0.0000 0.5000
Y 0.5000 0.5000 0.5000
Si 0.0000 0.0000 0.0000
S 0.0000 0.5000 0.5000
S 0.5000 0.0000 0.5000
S 0.5000 0.5000 0.0000